# 1
Al2CdCo | PBE | optimized geometry

Lattice parameters (Å, degrees): 4.7434 4.7434 4.7434 130.57 130.57 72.50
With the nearest neighbours (Å) after each atom.
Atoms (fractional coordinates):
Co1 0.7500 0.2500 0.5000  8 Al 2.76, 4 Cd 2.80
Al1 0.0000 0.0000 0.0000  4 Cd 2.76, 4 Co 2.76, 4 Al 2.80
Al2 0.5000 0.5000 0.0000  4 Co 2.76, 4 Cd 2.76, 4 Al 2.80
Cd1 0.2500 0.7500 0.5000  8 Al 2.76, 4 Co 2.80

Energy of formation from the pure elements   6.8 meV per atom
Electronic total energy   -3.870 eV/atom
Magnetization   0.00 μB/f.u.



# 2
GdUOs2 | PBE | optimized geometry

Lattice parameters (Å, degrees): 4.8324 4.8324 4.8324 60.00 60.00 60.00
With the nearest neighbours (Å) after each atom.
Atoms (fractional coordinates):
Os1 0.2500 0.2500 0.2500  4 Gd 2.96, 4 U 2.96
Os2 0.7500 0.7500 0.7500  4 Gd 2.96, 4 U 2.96
Gd1 0.0000 0.0000 0.0000  8 Os 2.96
U1 0.5000 0.5000 0.5000  8 Os 2.96

Energy of formation from the pure elements   18.0 meV per atom
Electronic total energy   -11.939 eV/atom
E above lowest polymorph   0.129 eV per atom
Magnetization   5.52 μB/f.u.



# 3
Ho4Tm7Pu | PBE | optimized geometry

Lattice parameters (Å, degrees): 5.3007 12.8022 6.1854 93.92 64.63 78.05
With the nearest neighbours (Å) after each atom.
Atoms (fractional coordinates):
Ho1 0.7455 0.2096 0.2995  1 Pu 2.85
Ho2 0.2545 0.7904 0.7005  1 Pu 2.85
Ho3 0.5946 0.7319 0.0789  3 Ho 3.42-3.55, 9 Tm 3.46-3.74
Ho4 0.4054 0.2681 0.9211  3 Ho 3.42-3.55, 9 Tm 3.46-3.74
Tm1 0.8418 0.8989 0.4175  1 Pu 2.85
Tm2 0.1582 0.1011 0.5825  1 Pu 2.85
Tm3 0.9601 0.6291 0.4508  7 Tm 3.37-3.66, 5 Ho 3.47-3.74
Tm4 0.0399 0.3709 0.5492  7 Tm 3.37-3.66, 5 Ho 3.47-3.74
Tm5 0.3235 0.5368 0.8163  4 Ho 3.35-3.72, 8 Tm 3.49-3.66
Tm6 0.5000 0.0000 0.0000  2 Pu 2.65
Tm7 0.6765 0.4632 0.1837  4 Ho 3.35-3.72, 8 Tm 3.49-3.66
Pu1 0.0000 0.0000 0.0000  4 Tm 2.65-2.85, 2 Ho 2.85

Energy of formation from the pure elements   219.1 meV per atom
Electronic total energy   -5.110 eV/atom
E above lowest polymorph   0.027 eV per atom
Magnetization   6.12 μB/f.u.



# 4
AgMo2Cl | PBE | optimized geometry

Lattice parameters (Å, degrees): 5.0098 3.7534 3.7534 90.00 90.00 90.00
With the nearest neighbours (Å) after each atom.
Atoms (fractional coordinates):
Ag1 0.5000 0.5000 0.0000  4 Cl 2.65
Cl1 0.5000 0.0000 0.5000  4 Ag 2.65
Mo1 0.0000 0.0000 0.0000  4 Mo 2.65
Mo2 0.0000 0.5000 0.5000  4 Mo 2.65

Electronic total energy   -5.575 eV/atom
E above lowest polymorph   0.823 eV per atom
Magnetization   0.00 μB/f.u.
Formation energy without anion corrections   4.06 eV per formula unit



# 5
NaCu3Tc | PBE | optimized geometry

Lattice parameters (Å, degrees): 4.7391 4.7391 4.7391 90.00 90.00 90.00
With the nearest neighbours (Å) after each atom.
Atoms (fractional coordinates):
Na1 0.5000 0.5000 0.5000  12 Cu 3.35
Tc1 0.0000 0.0000 0.0000  6 Cu 2.37
Cu1 0.0000 0.5000 0.0000  2 Tc 2.37
Cu2 0.0000 0.0000 0.5000  2 Tc 2.37
Cu3 0.5000 0.0000 0.0000  2 Tc 2.37

Energy of formation from the pure elements   1035.3 meV per atom
Electronic total energy   -3.759 eV/atom
E above lowest polymorph   0.000 eV per atom
Magnetization   1.61 μB/f.u.



# 6
ReTc2RhN | PBE | optimized geometry

Lattice parameters (Å, degrees): 4.0359 4.0359 4.0243 90.00 90.00 90.00
With the nearest neighbours (Å) after each atom.
Atoms (fractional coordinates):
Re1 0.0000 0.0000 0.5000  2 N 2.01
Rh1 0.5000 0.5000 0.5000  8 Tc 2.85, 4 Re 2.85
Tc1 0.0000 0.5000 0.0000  2 N 2.02
Tc2 0.5000 0.0000 0.0000  2 N 2.02
N1 0.0000 0.0000 0.0000  2 Re 2.01, 4 Tc 2.02

Electronic total energy   -9.716 eV/atom
Magnetization   0.00 μB/f.u.
Formation energy without anion corrections   0.28 eV per formula unit



# 7
Ho2MnVN5 | PBE | optimized geometry

Lattice parameters (Å, degrees): 3.2192 6.8734 9.7565 90.00 90.00 103.54
With the nearest neighbours (Å) after each atom.
Atoms (fractional coordinates):
Ho1 0.8644 0.7289 0.8118  7 N 2.43-2.47
Ho2 0.1146 0.2293 0.6695  6 N 2.31-2.55
Ho3 0.1356 0.2711 0.3118  7 N 2.43-2.47
Ho4 0.8854 0.7707 0.1695  6 N 2.31-2.55
Mn1 0.7873 0.5746 0.5276  3 N 1.89-2.05
Mn2 0.2127 0.4254 0.0276  3 N 1.89-2.05
V1 0.5603 0.1206 0.9446  4 N 1.75-1.86
V2 0.4397 0.8794 0.4446  4 N 1.75-1.86
N1 0.3533 0.7067 0.0030  1 Mn 1.89
N2 0.6895 0.3790 0.8862  1 V 1.82
N3 0.4993 0.9986 0.7855  1 V 1.75
N4 0.2871 0.5741 0.6570  2 Mn 2.05
N5 0.9497 0.8994 0.5388  2 V 1.86
N6 0.6467 0.2933 0.5030  1 Mn 1.89
N7 0.3105 0.6210 0.3862  1 V 1.82
N8 0.5007 0.0014 0.2855  1 V 1.75
N9 0.7129 0.4259 0.1570  2 Mn 2.05
N10 0.0503 0.1006 0.0388  2 V 1.86

Electronic total energy   -8.714 eV/atom
Magnetization   2.99 μB/f.u.
Formation energy without anion corrections   -9.35 eV per formula unit



# 8
Tm7Pd2Rh2 | PBE | optimized geometry

Lattice parameters (Å, degrees): 6.5138 6.8583 6.5138 90.02 105.73 89.98
With the nearest neighbours (Å) after each atom.
Atoms (fractional coordinates):
Tm1 0.9999 0.2620 0.5001  2 Rh 2.69
Tm2 0.5001 0.7380 0.9999  2 Rh 2.69
Tm3 0.0001 0.7380 0.4999  2 Rh 2.69
Tm4 0.4999 0.2620 0.0001  2 Rh 2.69
Tm5 0.0000 0.0000 0.0000  2 Rh 2.96
Tm6 0.5001 0.7431 0.4999  2 Rh 2.84, 2 Pd 2.90
Tm7 0.4999 0.2569 0.5001  2 Rh 2.84, 2 Pd 2.90
Pd1 0.8024 0.5000 0.8024  6 Tm 2.90-3.10, 1 Pd 3.11
Pd2 0.1976 0.5000 0.1976  6 Tm 2.90-3.10, 1 Pd 3.11
Rh1 0.7146 0.0000 0.2854  7 Tm 2.69-2.96
Rh2 0.2854 0.0000 0.7146  7 Tm 2.69-2.96

Energy of formation from the pure elements   -543.0 meV per atom
Electronic total energy   -5.669 eV/atom
E above lowest polymorph   0.178 eV per atom
Magnetization   0.00 μB/f.u.



# 9
CuTcHg3 | PBE | optimized geometry

Lattice parameters (Å, degrees): 4.9404 4.9404 4.9404 90.00 90.00 90.00
With the nearest neighbours (Å) after each atom.
Atoms (fractional coordinates):
Hg1 0.0000 0.5000 0.0000  2 Cu 2.47
Hg2 0.0000 0.0000 0.5000  2 Cu 2.47
Hg3 0.5000 0.0000 0.0000  2 Cu 2.47
Cu1 0.0000 0.0000 0.0000  6 Hg 2.47
Tc1 0.5000 0.5000 0.5000  12 Hg 3.49

Energy of formation from the pure elements   1009.9 meV per atom
Electronic total energy   -2.064 eV/atom
E above lowest polymorph   0.000 eV per atom
Magnetization   3.70 μB/f.u.



# 10
In3FePt12 | PBE | optimized geometry

Lattice parameters (Å, degrees): 4.0262 4.0262 16.0073 90.00 90.00 90.00
With the nearest neighbours (Å) after each atom.
Atoms (fractional coordinates):
In1 0.0000 0.0000 0.2458  12 Pt 2.85-2.89
In2 0.0000 0.0000 0.5000  12 Pt 2.85-2.86
In3 0.0000 0.0000 0.7542  12 Pt 2.85-2.89
Fe1 0.0000 0.0000 0.0000  12 Pt 2.74-2.85
Pt1 0.5000 0.5000 0.0000  8 Pt 2.74, 4 Fe 2.85
Pt2 0.5000 0.5000 0.2448  4 In 2.85, 8 Pt 2.87-2.88
Pt3 0.5000 0.5000 0.5000  4 In 2.85, 8 Pt 2.86
Pt4 0.5000 0.5000 0.7552  4 In 2.85, 8 Pt 2.87-2.88
Pt5 0.5000 0.0000 0.1163  2 Fe 2.74, 8 Pt 2.74-2.88, 2 In 2.89
Pt6 0.5000 0.0000 0.3727  8 Pt 2.85-2.87, 4 In 2.86
Pt7 0.5000 0.0000 0.6273  8 Pt 2.85-2.87, 4 In 2.86
Pt8 0.5000 0.0000 0.8837  2 Fe 2.74, 8 Pt 2.74-2.88, 2 In 2.89
Pt9 0.0000 0.5000 0.1163  2 Fe 2.74, 8 Pt 2.74-2.88, 2 In 2.89
Pt10 0.0000 0.5000 0.3727  8 Pt 2.85-2.87, 4 In 2.86
Pt11 0.0000 0.5000 0.6273  8 Pt 2.85-2.87, 4 In 2.86
Pt12 0.0000 0.5000 0.8837  2 Fe 2.74, 8 Pt 2.74-2.88, 2 In 2.89

Energy of formation from the pure elements   -337.6 meV per atom
Electronic total energy   -5.911 eV/atom
Magnetization   4.69 μB/f.u.



# 11
ZrGaTcRh | PBE | optimized geometry

Lattice parameters (Å, degrees): 3.3583 4.3914 4.3315 90.00 90.00 90.00
With the nearest neighbours (Å) after each atom.
Atoms (fractional coordinates):
Zr1 0.0000 0.5000 0.5000  4 Rh 2.74, 4 Tc 2.76
Ga1 0.0000 0.0000 0.0000  4 Tc 2.74, 4 Rh 2.76
Tc1 0.5000 0.0000 0.5000  4 Ga 2.74, 4 Zr 2.76
Rh1 0.5000 0.5000 0.0000  4 Zr 2.74, 4 Ga 2.76

Energy of formation from the pure elements   -564.9 meV per atom
Electronic total energy   -7.888 eV/atom
Magnetization   0.00 μB/f.u.



# 12
CuO | PBE | optimized geometry

Lattice parameters (Å, degrees): 3.9402 3.9402 3.9402 90.00 90.00 90.00
With the nearest neighbours (Å) after each atom.
Atoms (fractional coordinates):
Cu1 0.5000 0.0000 0.5000  4 O 1.97
Cu2 0.5000 0.5000 0.0000  4 O 1.97
Cu3 0.0000 0.5000 0.5000  4 O 1.97
O1 0.0000 0.5000 0.0000  4 Cu 1.97
O2 0.0000 0.0000 0.5000  4 Cu 1.97
O3 0.5000 0.0000 0.0000  4 Cu 1.97

Electronic total energy   -4.778 eV/atom
Magnetization   0.00 μB/f.u.
Formation energy without anion corrections   -0.50 eV per formula unit



> electronic total energy of number 4 (AgMo2Cl)?

-5.575 eV/atom